# 1
RbLaTc3 PBE optimized geometry; energy above the most stable polymorph in this dataset = 0.000 eV/atom
1.0
5.125 0.000 0.000
0.000 5.125 0.000
0.000 0.000 5.125
Rb La Tc
1 1 3
direct
0.000 0.000 0.000 Rb
0.500 0.500 0.500 La
0.000 0.500 0.500 Tc
0.500 0.000 0.500 Tc
0.500 0.500 0.000 Tc


# 2
Dy4InHg7 PBE optimized geometry; raw total energy = -26.4 eV for the cell shown
1.0
6.446 -2.696 0.000
6.446 2.696 0.000
-5.648 0.000 9.290
Dy In Hg
4 1 7
direct
0.082 0.082 0.276 Dy
0.239 0.239 0.822 Dy
0.761 0.761 0.178 Dy
0.918 0.918 0.724 Dy
0.500 0.500 0.500 In
0.000 0.000 0.500 Hg
0.138 0.138 0.035 Hg
0.301 0.301 0.585 Hg
0.427 0.427 0.155 Hg
0.573 0.573 0.845 Hg
0.699 0.699 0.415 Hg
0.862 0.862 0.965 Hg


# 3
NiBMo PBE optimized geometry; raw total energy = -146.1 eV for the cell shown
1.0
5.792 0.000 0.000
0.000 3.262 0.000
-0.041 0.000 9.960
Ni B Mo
6 6 6
direct
0.007 0.250 0.087 Ni
0.149 0.250 0.462 Ni
0.365 0.750 0.800 Ni
0.635 0.250 0.200 Ni
0.851 0.750 0.538 Ni
0.993 0.750 0.913 Ni
0.231 0.250 0.915 B
0.234 0.750 0.589 B
0.268 0.250 0.248 B
0.732 0.750 0.752 B
0.766 0.250 0.411 B
0.769 0.750 0.085 B
0.028 0.250 0.712 Mo
0.356 0.750 0.079 Mo
0.470 0.750 0.383 Mo
0.530 0.250 0.617 Mo
0.644 0.250 0.921 Mo
0.972 0.750 0.288 Mo


# 4
Rb2Cu2Cl7 PBE optimized geometry; energy above the most stable polymorph in this dataset = 0.000 eV/atom
1.0
4.749 -7.306 0.000
4.749 7.306 0.000
-1.103 0.000 4.488
Rb Cu Cl
2 2 7
direct
0.176 0.824 0.000 Rb
0.824 0.176 0.000 Rb
0.275 0.275 0.650 Cu
0.725 0.725 0.350 Cu
0.000 0.000 0.500 Cl
0.127 0.429 0.649 Cl
0.330 0.330 0.172 Cl
0.429 0.127 0.649 Cl
0.571 0.873 0.351 Cl
0.670 0.670 0.828 Cl
0.873 0.571 0.351 Cl


# 5
ZrTaAu4 PBE optimized geometry; raw total energy = -32.6 eV for the cell shown
1.0
0.000 3.866 3.866
3.866 0.000 3.866
3.866 3.866 0.000
Zr Ta Au
1 1 4
direct
0.000 0.000 0.000 Zr
0.250 0.250 0.250 Ta
0.125 0.625 0.625 Au
0.625 0.125 0.625 Au
0.625 0.625 0.125 Au
0.625 0.625 0.625 Au


# 6
NaZnSi2Pb PBE optimized geometry; raw total energy = -14.5 eV for the cell shown
1.0
4.791 0.000 0.000
0.000 4.791 0.000
0.000 0.000 5.123
Na Zn Si Pb
1 1 2 1
direct
0.000 0.000 0.000 Na
0.000 0.000 0.500 Zn
0.000 0.500 0.500 Si
0.500 0.000 0.500 Si
0.500 0.500 0.000 Pb


# 7
Pr6CuRh2Cl3 PBE optimized geometry; raw total energy = -65.3 eV for the cell shown
1.0
3.594 -6.224 0.000
3.594 6.224 0.000
-2.398 0.000 7.574
Pr Cu Rh Cl
6 1 2 3
direct
0.090 0.431 0.793 Pr
0.228 0.228 0.208 Pr
0.431 0.090 0.793 Pr
0.569 0.910 0.207 Pr
0.772 0.772 0.792 Pr
0.910 0.569 0.207 Pr
0.500 0.500 0.000 Cu
0.166 0.834 0.000 Rh
0.834 0.166 0.000 Rh
0.000 0.000 0.500 Cl
0.332 0.668 0.500 Cl
0.668 0.332 0.500 Cl


# 8
Ba8Ir2S PBE optimized geometry; raw total energy = -40.1 eV for the cell shown
1.0
9.208 0.000 0.000
-4.604 7.974 0.000
0.000 0.000 7.715
Ba Ir S
8 2 1
direct
0.165 0.331 0.237 Ba
0.165 0.835 0.237 Ba
0.331 0.165 0.763 Ba
0.333 0.667 0.715 Ba
0.667 0.333 0.285 Ba
0.669 0.835 0.237 Ba
0.835 0.165 0.763 Ba
0.835 0.669 0.763 Ba
0.333 0.667 0.086 Ir
0.667 0.333 0.914 Ir
0.000 0.000 0.000 S


# 9
RbAlS2Cl PBE optimized geometry; energy above the most stable polymorph in this dataset = 1.587 eV/atom
1.0
6.073 0.000 0.000
0.000 6.073 0.000
0.000 0.000 6.039
Rb Al S Cl
1 1 2 1
direct
0.000 0.000 0.000 Rb
0.500 0.500 0.500 Al
0.000 0.500 0.000 S
0.500 0.000 0.000 S
0.000 0.000 0.500 Cl


# 10
AlCuB2F PBE optimized geometry; raw total energy = -20.0 eV for the cell shown
1.0
3.739 0.000 0.000
0.000 3.739 0.000
0.000 0.000 4.873
Al Cu B F
1 1 2 1
direct
0.000 0.000 0.000 Al
0.500 0.500 0.500 Cu
0.000 0.500 0.500 B
0.500 0.000 0.500 B
0.500 0.500 0.000 F